Compound: DyTcI
Source: the Open Quantum Materials Database
Functional: GGA-PBE
Structure: relaxed

Lattice parameters (Å, degrees): 4.8796 4.8796 9.8499 90.00 90.00 120.00
Fractional coordinates of all 9 atoms:
Dy 0.0000 0.0000 0.0000
Dy 0.3333 0.6667 0.6667
Dy 0.6667 0.3333 0.3333
Tc 0.0000 0.0000 0.7366
Tc 0.3333 0.6667 0.4033
Tc 0.6667 0.3333 0.0699
I 0.0000 0.0000 0.4735
I 0.3333 0.6667 0.1401
I 0.6667 0.3333 0.8068

DFT total energy, eV per atom: -5.100